First-principles (PBE) data for a relaxed Tb6NdTm2 crystal, as listed in Alexandria via LeMat-Bulk.

Properties
- Spin magnetization: 0.01 μB/f.u.
- Formation enthalpy at 0 K: 22.5 kJ/mol of atoms
- Density of states at the Fermi level: 1.57 states/eV/atom
- ΔE to the lowest computed polymorph: 216 meV per atom

Cell: 6.049 7.430 7.430 Å, 60.02 90.01 90.01°
Positions (direct):
Tb1 0.294 0.377 0.812
Tb2 0.293 0.812 0.812
Tb3 0.294 0.812 0.377
Tb4 0.706 0.623 0.188
Tb5 0.707 0.188 0.188
Tb6 0.706 0.188 0.623
Nd1 0.000 0.000 0.000
Tm1 0.786 0.666 0.666
Tm2 0.214 0.334 0.334